Here is Si2NiPb after structural relaxation from the Alexandria database. Energies are from PBE. Values from VASP.

Summary:
raw formation energy	158	meV/atom
DOS at the Fermi energy	1.6	states/eV/cell
mass density	7357	kg/m³

```
&SYSTEM
  ibrav = 0, nat = 4, ntyp = 3
/
ATOMIC_SPECIES
Pb 207.20 Pb.upf
Si 28.09 Si.upf
Ni 58.69 Ni.upf
ATOMIC_POSITIONS angstrom
Pb 1.506 1.612 5.275
Si 0.000 0.000 0.694
Si 1.506 1.612 2.136
Ni 0.000 0.000 3.125
CELL_PARAMETERS angstrom
3.012 0.000 0.000
0.000 3.223 0.000
0.000 0.000 7.487
```